Density functional theory data (GGA-PBE) for an optimized crystal structure of PmPuTeCl.

E_form (uncorrected), eV/atom: -1.083
Uncorrected energy, eV/atom: -7.10

abc: 5.287 5.287 5.287
angles: 60.00 60.00 60.00
Fractional positions:
Pm 0.000 0.000 0.000
Pu 0.500 0.500 0.500
Te 0.250 0.250 0.250
Cl 0.750 0.750 0.750